No. 1
A plane-wave DFT calculation with PBE was carried out for an optimized crystal structure of PrGdCuSe3.

It has space group Cmcm (No. 63), with a = 4.002 Å, b = 13.428 Å, c = 10.638 Å, α = 90.00°, β = 90.00° and γ = 90.00°. The asymmetric unit holds Pr at (0.000, 0.236, 0.250), Gd at (0.000, 0.000, 0.000), Cu at (0.000, 0.473, 0.750), Se at (0.000, 0.088, 0.750) and Se at (0.000, 0.355, 0.572).

The calculation puts the total magnetization at 0.00 μB/atom. As for the total DFT energy (no corrections): -5.364 eV per atom.

***

No. 2
A plane-wave DFT calculation with PBE was carried out for an optimized crystal structure of KHfNb.

It has space group F-43m (No. 216), with a = 7.168 Å, b = 7.168 Å, c = 7.168 Å, α = 90.00°, β = 90.00° and γ = 90.00°. The asymmetric unit holds K at (0.000, 0.000, 0.000), Hf at (0.000, 0.000, 0.500) and Nb at (0.250, 0.250, 0.750).

The distance to the lowest polymorph of the same formula is 0 meV/atom. The calculation puts the total magnetization at 1.05 μB/atom.

***

Copy entry 2 word for word.
A plane-wave DFT calculation with PBE was carried out for an optimized crystal structure of KHfNb.

It has space group F-43m (No. 216), with a = 7.168 Å, b = 7.168 Å, c = 7.168 Å, α = 90.00°, β = 90.00° and γ = 90.00°. The asymmetric unit holds K at (0.000, 0.000, 0.000), Hf at (0.000, 0.000, 0.500) and Nb at (0.250, 0.250, 0.750).

The distance to the lowest polymorph of the same formula is 0 meV/atom. The calculation puts the total magnetization at 1.05 μB/atom.